Density functional theory data (PBE+U) for a relaxed structure of MgNi2O4.

Output
For the energy, the calculation gives -5.07 eV/atom. As for the density of states at the Fermi level: 4.0 states/eV/cell. As for the calculated density: 4.8 g/cm3. For the magnetic moment, the calculation gives 4.000 μB/cell. Its energy above the lowest structure with this stoichiometry is 38 meV/atom.

Cell lengths 5.8930, 5.8930, 5.8930 Å; angles 59.64, 59.64, 59.64 degrees
With the nearest neighbours (Å) after each atom.
Atoms (fractional coordinates):
O 0.8338 0.3773 0.3773  3 Ni 1.93-1.96, 1 Mg 2.07
Ni 0.1226 0.6260 0.6260  6 O 1.92-2.04
O 0.3773 0.3773 0.8338  3 Ni 1.93-1.96, 1 Mg 2.07
Ni 0.6260 0.1226 0.6260  6 O 1.92-2.04
O 0.8709 0.8709 0.8709  1 Mg 2.01, 3 Ni 2.04
O 0.8695 0.4196 0.8695  2 Ni 1.92, 2 Mg 1.96-2.05
O 0.4196 0.8695 0.8695  2 Ni 1.92, 2 Mg 1.96-2.05
Ni 0.6260 0.6260 0.1226  6 O 1.92-2.04
O 0.3773 0.8338 0.3773  3 Ni 1.93-1.96, 1 Mg 2.07
O 0.3803 0.3803 0.3803  4 Ni 1.99-2.04
Mg 0.0096 0.0096 0.0096  4 O 1.96-2.01
Ni 0.2426 0.2426 0.2426  4 O 1.96-1.99
Mg 0.6249 0.6249 0.6249  6 O 2.05-2.07
O 0.8695 0.8695 0.4196  2 Ni 1.92, 2 Mg 1.96-2.05